Run w
Te2AuSe | PBE | relaxed

```
4
Lattice="1.887 -2.997 0.000 1.887 2.997 0.000 0.000 0.000 9.031" Properties=species:S:1:pos:R:3 pbc="T T T"
Te 0.000 0.000 0.000
Te 1.887 0.000 2.817
Au 0.000 0.000 4.830
Se 1.887 0.000 6.622
```

***

Run x
Te2AuSe | PBE | relaxed

```
4
Lattice="-1.977 1.977 8.331 1.977 -1.977 8.331 1.977 1.977 -8.331" Properties=species:S:1:pos:R:3 pbc="T T T"
Te 0.000 0.000 0.000
Te 0.000 1.977 4.165
Au 1.977 0.000 4.165
Se 0.000 0.000 8.331
```

***

Run y
Te2AuSe | PBE | relaxed

```
4
Lattice="0.000 3.627 3.627 3.627 0.000 3.627 3.627 3.627 0.000" Properties=species:S:1:pos:R:3 pbc="T T T"
Te 0.000 0.000 0.000
Te 1.813 1.813 1.813
Au 3.627 3.627 3.627
Se 5.440 5.440 5.440
```

***

Run z
Te2AuSe | PBE | relaxed

```
4
Lattice="1.973 -4.226 0.000 1.973 4.226 0.000 0.000 0.000 7.911" Properties=species:S:1:pos:R:3 pbc="T T T"
Te 0.000 0.000 1.913
Te 0.000 0.000 5.998
Au 1.973 0.000 0.000
Se 1.973 0.000 3.956
```

***

Which structure is most stable? run z, by 1.7 kJ/mol of atoms over the runner-up.

***

Run w
Te2AuSe | PBE | relaxed

```
4
Lattice="2.103 1.214 6.750 -2.103 1.214 6.750 0.000 -2.428 6.750" Properties=species:S:1:pos:R:3 pbc="T T T"
Te 0.000 0.000 0.000
Te 0.000 0.000 4.813
Au 0.000 0.000 9.978
Se 0.000 0.000 15.362
```

***

Run x
Te2AuSe | PBE | relaxed

```
4
Lattice="3.073 0.000 0.000 0.000 4.152 0.000 -0.160 0.000 8.311" Properties=species:S:1:pos:R:3 pbc="T T T"
Te -0.034 0.000 1.869
Te 2.948 0.000 6.443
Au 0.000 2.076 0.000
Se -0.080 2.076 4.156
```

***

Which structure is most stable? run w, by 1.2 kJ/mol of atoms over the runner-up.

***

Run w
Te2AuSe | PBE | relaxed

```
8
Lattice="-2.975 2.975 7.423 2.975 -2.975 7.423 2.975 2.975 -7.423" Properties=species:S:1:pos:R:3 pbc="T T T"
Te 4.462 1.426 -1.856
Te 1.426 1.487 1.856
Te -1.487 1.549 5.567
Te 1.549 1.487 9.278
Au 0.000 0.000 0.000
Au 0.000 2.975 3.711
Se 2.975 0.000 3.711
Se 0.000 0.000 7.423
```

***

Run x
Te2AuSe | PBE | relaxed

```
4
Lattice="2.119 1.223 8.222 -2.119 1.223 8.222 0.000 -2.447 8.222" Properties=species:S:1:pos:R:3 pbc="T T T"
Te 0.000 0.000 2.645
Te 0.000 0.000 22.021
Au 0.000 0.000 12.333
Se 0.000 0.000 0.000
```

***

Run y
Te2AuSe | PBE | relaxed

```
4
Lattice="0.000 3.608 3.608 3.608 0.000 3.608 3.608 3.608 0.000" Properties=species:S:1:pos:R:3 pbc="T T T"
Te 1.804 1.804 1.804
Te 5.412 5.412 5.412
Au 0.000 0.000 0.000
Se 3.608 3.608 3.608
```

***

Which structure is most stable? run x, by 8.7 kJ/mol of atoms over the runner-up.

***

Run w
Te2AuSe | PBE | relaxed

```
4
Lattice="3.948 0.000 0.000 0.000 3.986 0.000 0.000 0.000 7.712" Properties=species:S:1:pos:R:3 pbc="T T T"
Te 0.000 0.000 0.000
Te 1.974 0.000 3.856
Au 0.000 1.993 3.856
Se 1.974 1.993 0.000
```

***

Run x
Te2AuSe | PBE | relaxed

```
4
Lattice="3.652 -2.070 0.000 3.652 2.070 0.000 -2.085 0.000 6.873" Properties=species:S:1:pos:R:3 pbc="T T T"
Te 1.121 0.000 1.529
Te 4.099 0.000 5.344
Au 3.652 0.000 0.000
Se -1.042 0.000 3.437
```

***

Which structure is most stable? run x, by 20.9 kJ/mol of atoms over the runner-up.

***

Run w
Te2AuSe | PBE | relaxed

```
4
Lattice="4.009 -4.019 0.000 4.009 4.019 0.000 -0.100 0.000 3.361" Properties=species:S:1:pos:R:3 pbc="T T T"
Te 2.005 2.009 0.000
Te 2.005 -2.009 0.000
Au 0.000 0.000 0.000
Se 4.009 0.000 0.000
```

***

Run x
Te2AuSe | PBE | relaxed

```
4
Lattice="4.181 0.000 0.000 0.000 2.889 4.244 0.000 -2.889 4.244" Properties=species:S:1:pos:R:3 pbc="T T T"
Te 0.000 0.000 0.000
Te 2.090 0.000 2.293
Au 0.000 0.000 4.288
Se 2.090 0.000 6.137
```

***

Run y
Te2AuSe | PBE | relaxed

```
4
Lattice="3.014 0.000 0.000 0.000 3.014 0.000 0.000 0.000 12.515" Properties=species:S:1:pos:R:3 pbc="T T T"
Te 0.000 0.000 0.000
Te 1.507 1.507 3.906
Au 0.000 0.000 6.452
Se 1.507 1.507 8.528
```

***

Which structure is most stable? run x, by 3.2 kJ/mol of atoms over the runner-up.

***

Run w
TeAu3Se | PBE | relaxed

```
5
Lattice="5.251 0.000 0.000 0.000 5.251 0.000 0.000 0.000 5.251" Properties=species:S:1:pos:R:3 pbc="T T T"
Te 0.000 0.000 0.000
Au 0.000 0.000 2.626
Au 0.000 2.626 0.000
Au 2.626 0.000 0.000
Se 2.626 2.626 2.626
```

***

Run x
TeAu3Se | PBE | relaxed

```
5
Lattice="5.037 0.000 0.000 0.000 5.037 0.000 0.000 0.000 5.037" Properties=species:S:1:pos:R:3 pbc="T T T"
Te 0.000 0.000 0.000
Au 0.000 2.519 2.519
Au 2.519 0.000 2.519
Au 2.519 2.519 0.000
Se 2.519 2.519 2.519
```

***

Which structure is most stable? run x, by 16.2 kJ/mol of atoms over the runner-up.

***

Run w
TeAuSe4 | PBE | relaxed

```
6
Lattice="6.694 -1.961 0.000 6.694 1.961 0.000 -5.583 0.000 7.121" Properties=species:S:1:pos:R:3 pbc="T T T"
Te 0.000 0.000 0.000
Au 3.902 0.000 3.561
Se -1.914 0.000 4.995
Se 0.491 0.000 5.146
Se 7.313 0.000 1.975
Se 9.719 0.000 2.127
```

***

Run x
TeAuSe4 | PBE | relaxed

```
6
Lattice="0.000 4.067 4.067 4.067 0.000 4.067 4.067 4.067 0.000" Properties=species:S:1:pos:R:3 pbc="T T T"
Te 0.000 0.000 0.000
Au 6.100 6.100 6.100
Se 3.061 3.061 3.061
Se 5.072 5.072 3.061
Se 5.072 3.061 5.072
Se 3.061 5.072 5.072
```

***

Which structure is most stable? run w, by 66.6 kJ/mol of atoms over the runner-up.

***

Run w
TeAu2Se2 | PBE | relaxed

```
10
Lattice="7.717 0.000 0.000 0.000 7.717 0.000 0.000 0.000 3.596" Properties=species:S:1:pos:R:3 pbc="T T T"
Te 0.000 0.000 0.000
Te 3.858 3.858 0.000
Au 1.052 2.806 0.000
Au 2.806 6.665 0.000
Au 4.911 1.052 0.000
Au 6.665 4.911 0.000
Se 1.291 5.150 1.798
Se 2.567 1.291 1.798
Se 5.150 6.425 1.798
Se 6.425 2.567 1.798
```

***

Run x
TeAu2Se2 | PBE | relaxed

```
10
Lattice="8.098 0.000 0.000 0.000 8.098 0.000 0.000 0.000 3.513" Properties=species:S:1:pos:R:3 pbc="T T T"
Te 0.000 0.000 0.000
Te 4.049 4.049 0.000
Au 0.949 3.100 1.756
Au 3.100 7.150 1.756
Au 4.998 0.949 1.756
Au 7.150 4.998 1.756
Se 1.666 5.715 0.000
Se 2.383 1.666 0.000
Se 5.715 6.432 0.000
Se 6.432 2.383 0.000
```

***

Which structure is most stable? run x, by 5.0 kJ/mol of atoms over the runner-up.

***

Run w
Te4AuSe | PBE | relaxed

```
6
Lattice="4.253 0.000 0.000 2.023 3.745 0.000 0.320 0.151 10.985" Properties=species:S:1:pos:R:3 pbc="T T T"
Te 1.282 0.751 3.736
Te 2.236 1.299 9.465
Te 4.360 2.597 1.520
Te 5.314 3.144 7.250
Au 0.000 0.000 0.000
Se 3.298 1.948 5.493
```

***

Run x
Te4AuSe | PBE | relaxed

```
6
Lattice="0.000 4.399 4.399 4.399 0.000 4.399 4.399 4.399 0.000" Properties=species:S:1:pos:R:3 pbc="T T T"
Te 3.311 3.311 3.311
Te 5.488 5.488 3.311
Te 5.488 3.311 5.488
Te 3.311 5.488 5.488
Au 0.000 0.000 0.000
Se 6.599 6.599 6.599
```

***

Which structure is most stable? run w, by 57.9 kJ/mol of atoms over the runner-up.

***

Run w
Ti3AuSe | PBE | relaxed

```
5
Lattice="4.639 0.000 0.000 0.000 4.639 0.000 0.000 0.000 4.639" Properties=species:S:1:pos:R:3 pbc="T T T"
Ti 0.000 0.000 2.319
Ti 0.000 2.319 0.000
Ti 2.319 0.000 0.000
Au 2.319 2.319 2.319
Se 0.000 0.000 0.000
```

***

Run x
Ti3AuSe | PBE | relaxed

```
5
Lattice="4.937 0.000 0.000 0.000 4.937 0.000 0.000 0.000 4.937" Properties=species:S:1:pos:R:3 pbc="T T T"
Ti 0.000 0.000 2.468
Ti 0.000 2.468 0.000
Ti 2.468 0.000 0.000
Au 0.000 0.000 0.000
Se 2.468 2.468 2.468
```

***

Which structure is most stable? run w, by 54.2 kJ/mol of atoms over the runner-up.

***

Run w
TiAu3Se | PBE | relaxed

```
5
Lattice="4.952 0.000 0.000 0.000 4.952 0.000 0.000 0.000 4.952" Properties=species:S:1:pos:R:3 pbc="T T T"
Ti 0.000 0.000 0.000
Au 0.000 2.476 2.476
Au 2.476 0.000 2.476
Au 2.476 2.476 0.000
Se 2.476 2.476 2.476
```

***

Run x
TiAu3Se | PBE | relaxed

```
5
Lattice="4.992 0.000 0.000 0.000 4.992 0.000 0.000 0.000 4.992" Properties=species:S:1:pos:R:3 pbc="T T T"
Ti 0.000 0.000 0.000
Au 0.000 0.000 2.496
Au 0.000 2.496 0.000
Au 2.496 0.000 0.000
Se 2.496 2.496 2.496
```

***

Which structure is most stable? run w, by 12.9 kJ/mol of atoms over the runner-up.

***

Run w
TlAu3Se | PBE | relaxed

```
5
Lattice="5.142 0.000 0.000 0.000 5.142 0.000 0.000 0.000 5.142" Properties=species:S:1:pos:R:3 pbc="T T T"
Tl 0.000 0.000 0.000
Au 0.000 2.571 2.571
Au 2.571 0.000 2.571
Au 2.571 2.571 0.000
Se 2.571 2.571 2.571
```

***

Run x
TlAu3Se | PBE | relaxed

```
5
Lattice="5.265 0.000 0.000 0.000 5.265 0.000 0.000 0.000 5.265" Properties=species:S:1:pos:R:3 pbc="T T T"
Tl 0.000 0.000 0.000
Au 0.000 0.000 2.633
Au 0.000 2.633 0.000
Au 2.633 0.000 0.000
Se 2.633 2.633 2.633
```

***

Which structure is most stable? run w, by 66.2 kJ/mol of atoms over the runner-up.